No. 1
This record from Alexandria describes a relaxed InI2NO crystal. The functional is GGA-PBE.

Geometry as POSCAR:
```
InI2NO
1.0
5.9895 0.0000 0.0000
0.0000 5.9895 0.0000
0.0000 0.0000 4.2890
In O N I
1 1 1 2
direct
0.0000 0.0000 0.0000
0.5000 0.5000 0.5000
0.0000 0.0000 0.5000
0.5000 0.0000 0.0000
0.0000 0.5000 0.0000
```

Computed properties:
- Energy relative to the lowest polymorph listed for this composition: 454 meV/atom
- E_form (uncorrected): 1214 meV/atom

***

No. 2
This record from Alexandria describes a relaxed DyHoGe2 crystal. The functional is GGA-PBE.

Geometry as POSCAR:
```
DyHoGe2
1.0
4.1436 0.0000 0.0000
2.0718 3.5884 0.0000
2.0718 1.1961 6.7290
Ho Ge Dy
1 2 1
direct
0.5000 0.5000 0.5000
0.7504 0.7504 0.7488
0.2496 0.2496 0.2512
0.0000 0.0000 0.0000
```

Computed properties:
- ΔH_f (0 K): -0.655 eV per atom

***

No. 3
This record from Alexandria describes a relaxed NdEr5Te6 crystal. The functional is GGA-PBE.

Geometry as POSCAR:
```
NdEr5Te6
1.0
-4.3540 5.2370 3.1528
-3.4188 -2.9264 6.0697
3.2810 0.4409 6.7638
Te Nd Er
6 1 5
direct
0.7405 0.4323 0.6537
0.2595 0.5677 0.3463
0.7535 0.7361 0.0000
0.7405 0.0860 0.3463
0.2465 0.2639 0.0000
0.2595 0.9140 0.6537
0.0000 0.0000 0.0000
0.5000 0.1534 0.6933
0.0000 0.6670 0.6659
0.5000 0.8466 0.3067
0.0000 0.3330 0.3341
0.5000 0.5000 0.0000
```

Computed properties:
- E_form (uncorrected): -1249 meV/atom

***

No. 4
This record from Alexandria describes a relaxed Sr2CrS2 crystal. The functional is GGA-PBE.

Geometry as POSCAR:
```
Sr2CrS2
1.0
-2.4087 -7.9752 1.0473
8.0374 -2.4294 -0.0147
0.1412 0.4447 3.7108
Cr Sr S
2 4 4
direct
0.5000 0.5000 0.0000
0.0000 0.0000 0.0000
0.1466 0.3534 0.0000
0.3534 0.8534 0.0000
0.8534 0.6466 0.0000
0.6466 0.1466 0.0000
0.8449 0.3449 0.5000
0.6551 0.8449 0.5000
0.3449 0.1551 0.5000
0.1551 0.6551 0.5000
```

Computed properties:
- Energy relative to the lowest polymorph listed for this composition: 269 meV/atom
- E_form (uncorrected): -779 meV/atom

***

No. 5
This record from Alexandria describes a relaxed HgPbC2 crystal. The functional is GGA-PBE.

Geometry as POSCAR:
```
HgPbC2
1.0
-2.9924 2.8172 1.8829
0.0188 4.3840 -1.1028
-3.3607 1.7195 -2.4870
C Hg Pb
2 1 1
direct
0.2500 0.2500 0.2500
0.7500 0.7500 0.7500
0.0000 0.0000 0.0000
0.5000 0.5000 0.5000
```

Computed properties:
- Energy relative to the lowest polymorph listed for this composition: 616 meV/atom
- ΔH_f (0 K): 2.504 eV per atom

***

No. 6
This record from Alexandria describes a relaxed Tl3GeN crystal. The functional is GGA-PBE.

Geometry as POSCAR:
```
Tl3GeN
1.0
5.7041 0.0000 0.0000
0.0000 5.7041 0.0000
0.0000 0.0000 5.7041
Ge N Tl
1 1 3
direct
0.0000 0.0000 0.0000
0.5000 0.5000 0.5000
0.5000 0.0000 0.0000
0.0000 0.5000 0.0000
0.0000 0.0000 0.5000
```

Computed properties:
- Energy relative to the lowest polymorph listed for this composition: 477 meV/atom
- E_form (uncorrected): 1254 meV/atom

***

No. 7
This record from Alexandria describes a relaxed SmIn2Cu crystal. The functional is GGA-PBE.

Geometry as POSCAR:
```
SmIn2Cu
1.0
-0.1313 -0.1082 4.5837
-3.1319 -3.2099 -0.1655
3.2116 -3.1345 0.0180
In Cu Sm
2 1 1
direct
0.0000 0.0000 0.5000
0.0000 0.5000 0.0000
0.5000 0.0000 0.0000
0.5000 0.5000 0.5000
```

Computed properties:
- ΔH_f (0 K): -0.240 eV per atom

***

No. 8
This record from Alexandria describes a relaxed TlAgPSe3 crystal. The functional is GGA-PBE.

Geometry as POSCAR:
```
TlAgPSe3
1.0
9.8727 0.0178 0.0000
-1.2832 10.3178 0.0000
0.0000 0.0000 12.7951
Se Tl Ag P
24 8 8 8
direct
0.2771 0.9325 0.1276
0.5863 0.7703 0.0726
0.8941 0.8992 0.6862
0.7771 0.9325 0.3724
0.0863 0.7703 0.4274
0.2229 0.0675 0.6276
0.2127 0.4512 0.5032
0.0501 0.3813 0.8086
0.4470 0.7306 0.5885
0.7229 0.0675 0.8724
0.2873 0.5488 0.0032
0.9499 0.6187 0.1914
0.9137 0.2297 0.5726
0.3941 0.8992 0.8138
0.0530 0.2694 0.0885
0.7127 0.4512 0.9968
0.1059 0.1008 0.3138
0.4137 0.2297 0.9274
0.4499 0.6187 0.3086
0.9470 0.7306 0.9115
0.5530 0.2694 0.4115
0.5501 0.3813 0.6914
0.7873 0.5488 0.4968
0.6059 0.1008 0.1862
0.3884 0.3175 0.1727
0.8884 0.3175 0.3273
0.3795 0.9155 0.3836
0.6205 0.0845 0.6164
0.1116 0.6825 0.6727
0.8795 0.9155 0.1164
0.1205 0.0845 0.8836
0.6116 0.6825 0.8273
0.2257 0.6745 0.1838
0.7102 0.7907 0.5507
0.7743 0.3255 0.8162
0.2743 0.3255 0.6838
0.7257 0.6745 0.3162
0.2102 0.7907 0.9493
0.2898 0.2093 0.4493
0.7898 0.2093 0.0507
0.9154 0.5645 0.0223
0.5846 0.4355 0.5223
0.9961 0.9533 0.4187
0.5039 0.0467 0.9187
0.0039 0.0467 0.5813
0.4961 0.9533 0.0813
0.0846 0.4355 0.9777
0.4154 0.5645 0.4777
```

Computed properties:
- E_form (uncorrected): -231 meV/atom

***

Number 1: theoretical density 4.30 g/cm3. Number 2: theoretical density 7.85 g/cm3. Number 3: theoretical density 8.31 g/cm3. Number 4: theoretical density 3.67 g/cm3. Number 5: theoretical density 10.98 g/cm3. Number 6: theoretical density 6.26 g/cm3. Number 7: theoretical density 7.97 g/cm3. Number 8: theoretical density 5.91 g/cm3.